Here is Th3B12Os5 after structural relaxation from the Alexandria database. Energies are from PBE-GGA.

Summary:
DOS(E_F): 0.6110 states/eV per atom
energy relative to the elements: 528.9 meV/atom
magnetization: 0.0 μB per cell

a = 11.916 Å, b = 11.916 Å, c = 11.916 Å
α = 109.47°, β = 109.47°, γ = 109.47°
Sites, in units of the cell vectors:
Th 0.125 0.250 0.375
Th 0.125 0.375 0.750
Th 0.250 0.375 0.125
Th 0.250 0.875 0.625
Th 0.375 0.125 0.250
Th 0.375 0.750 0.125
Th 0.625 0.250 0.875
Th 0.625 0.875 0.750
Th 0.750 0.125 0.375
Th 0.750 0.625 0.875
Th 0.875 0.625 0.250
Th 0.875 0.750 0.625
B 0.010 0.684 0.102
B 0.010 0.827 0.908
B 0.081 0.673 0.684
B 0.081 0.908 0.398
B 0.092 0.602 0.919
B 0.092 0.990 0.173
B 0.102 0.010 0.684
B 0.102 0.592 0.419
B 0.173 0.092 0.990
B 0.173 0.581 0.184
B 0.184 0.173 0.581
B 0.184 0.510 0.602
B 0.316 0.898 0.990
B 0.316 0.919 0.327
B 0.327 0.316 0.919
B 0.327 0.510 0.408
B 0.398 0.081 0.908
B 0.398 0.816 0.490
B 0.408 0.327 0.510
B 0.408 0.581 0.898
B 0.419 0.102 0.592
B 0.419 0.816 0.827
B 0.490 0.398 0.816
B 0.490 0.592 0.673
B 0.510 0.408 0.327
B 0.510 0.602 0.184
B 0.581 0.184 0.173
B 0.581 0.898 0.408
B 0.592 0.419 0.102
B 0.592 0.673 0.490
B 0.602 0.184 0.510
B 0.602 0.919 0.092
B 0.673 0.490 0.592
B 0.673 0.684 0.081
B 0.684 0.081 0.673
B 0.684 0.102 0.010
B 0.816 0.490 0.398
B 0.816 0.827 0.419
B 0.827 0.419 0.816
B 0.827 0.908 0.010
B 0.898 0.408 0.581
B 0.898 0.990 0.316
B 0.908 0.010 0.827
B 0.908 0.398 0.081
B 0.919 0.092 0.602
B 0.919 0.327 0.316
B 0.990 0.173 0.092
B 0.990 0.316 0.898
Os 0.000 0.000 0.000
Os 0.000 0.000 0.500
Os 0.000 0.500 0.000
Os 0.000 0.500 0.500
Os 0.125 0.750 0.875
Os 0.125 0.875 0.250
Os 0.250 0.125 0.875
Os 0.250 0.625 0.375
Os 0.375 0.250 0.625
Os 0.375 0.625 0.750
Os 0.500 0.000 0.000
Os 0.500 0.000 0.500
Os 0.500 0.500 0.000
Os 0.500 0.500 0.500
Os 0.625 0.375 0.250
Os 0.625 0.750 0.375
Os 0.750 0.375 0.625
Os 0.750 0.875 0.125
Os 0.875 0.125 0.750
Os 0.875 0.250 0.125